Below is a crystal of InTe2Au relaxed with PBEsol, with properties calculated at the SCAN level.

Output
The value obtained for the formation energy from raw total energies is -0.2812 eV per atom.

```
data_InTe2Au
_chemical_formula_sum 'In4 Te8 Au4'
_symmetry_space_group_name_H-M 'P b c n'
_symmetry_Int_Tables_number 60
_symmetry_space_group_name_Hall '-P 2n 2ab'
_cell_length_a 6.201
_cell_length_b 12.688
_cell_length_c 6.232
_cell_angle_alpha 90.00
_cell_angle_beta 90.00
_cell_angle_gamma 90.00
loop_
_atom_site_label
_atom_site_type_symbol
_atom_site_fract_x
_atom_site_fract_y
_atom_site_fract_z
_atom_site_occupancy
In1 In 0.000 0.248 0.250 1
Te1 Te 0.210 0.110 0.544 1
Au1 Au 0.000 0.414 0.750 1
```